1.
AlFeSi2: optimized geometry, GGA-PBE.

Cell: 6.1960 6.1960 6.1960 Å, 124.21 124.21 82.85°
Atoms (fractional coordinates):
Al 0.0000 0.0000 0.0000
Al 0.7500 0.2500 0.5000
Fe 0.2500 0.7500 0.5000
Fe 0.5000 0.5000 0.0000
Si 0.1717 0.6250 0.0467
Si 0.3750 0.4217 0.5467
Si 0.5783 0.1250 0.9533
Si 0.8750 0.8283 0.4533

Computed properties:
raw formation energy = 0.56 eV per atom
DOS at the Fermi energy = 2.73 states/eV/f.u.
symmetry = No. 122
V = 19.5 Å³/atom
total energy = -41.652 eV for the cell shown


2.
RbScSe2: optimized geometry, GGA-PBE.

Cell: 8.0262 7.2896 8.0584 Å, 90.00 90.00 90.00°
Atoms (fractional coordinates):
Rb 0.0231 0.2500 0.0470
Rb 0.4769 0.7500 0.5470
Rb 0.5231 0.2500 0.4530
Rb 0.9769 0.7500 0.9530
Sc 0.0645 0.2500 0.5591
Sc 0.4355 0.7500 0.0591
Sc 0.5645 0.2500 0.9409
Sc 0.9355 0.7500 0.4409
Se 0.1672 0.5122 0.3492
Se 0.1672 0.9878 0.3492
Se 0.3328 0.0122 0.8492
Se 0.3328 0.4878 0.8492
Se 0.6672 0.5122 0.1508
Se 0.6672 0.9878 0.1508
Se 0.8328 0.0122 0.6508
Se 0.8328 0.4878 0.6508

Computed properties:
raw formation energy = -1.30 eV per atom
DOS at the Fermi energy = 0.00 states/eV/f.u.
symmetry = No. 62
V = 29.5 Å³/atom
total energy = -77.934 eV for the cell shown


3.
ZnAsI2: optimized geometry, GGA-PBE.

Cell: 6.7979 6.7979 6.7979 Å, 108.46 108.46 111.52°
Atoms (fractional coordinates):
Zn 0.0000 0.0000 0.0000
Zn 0.7500 0.2500 0.5000
As 0.2500 0.7500 0.5000
As 0.5000 0.5000 0.0000
I 0.1137 0.6250 0.9887
I 0.3750 0.3637 0.4887
I 0.6363 0.1250 0.0113
I 0.8750 0.8863 0.5113

Computed properties:
energy above the most stable polymorph in this dataset = 0.0 kJ per mole of atoms
raw formation energy = 0.36 eV per atom
DOS at the Fermi energy = 3.90 states/eV/f.u.
symmetry = No. 122
V = 30.2 Å³/atom
total energy = -15.161 eV for the cell shown